1.
Computed, not measured: a geometry-optimized CsCu3TeSe structure at the PBE level of DFT.

Geometry as POSCAR:
```
CsCu3TeSe
1.0
3.273 -7.133 0.000
3.273 7.133 0.000
0.000 0.000 6.654
Cs Cu Te Se
2 6 2 2
Cartesian
3.273 3.765 4.990 Cs
3.273 -3.765 1.663 Cs
3.273 3.502 1.663 Cu
1.848 0.000 0.000 Cu
1.848 0.000 3.327 Cu
4.698 0.000 0.000 Cu
4.698 0.000 3.327 Cu
3.273 -3.502 4.990 Cu
3.273 5.949 1.663 Te
3.273 -5.949 4.990 Te
3.273 1.225 1.663 Se
3.273 -1.225 4.990 Se
```

As for the spin magnetization: 0.0 μB/f.u. The space-group type is Cmcm, No. 63. The calculation puts the uncorrected formation energy at -0.23 eV per atom. The electronic total energy is -42.35 eV for the cell shown.

2.
Computed, not measured: a geometry-optimized PmUAu structure at the PBE level of DFT.

Geometry as POSCAR:
```
PmUAu
1.0
5.096 -1.789 0.000
5.096 1.789 0.000
-2.180 0.000 8.379
Pm U Au
2 2 2
Cartesian
1.403 0.000 1.112 Pm
6.609 0.000 7.267 Pm
2.275 0.000 4.502 U
5.737 0.000 3.877 U
-0.715 0.000 6.101 Au
8.728 0.000 2.278 Au
```

As for the spin magnetization: 0.2 μB/f.u. The space-group type is C2/m, No. 12. The value obtained for the energy relative to the elements is -0.15 eV/atom. The electronic total energy is -39.54 eV for the cell shown.

3.
Computed, not measured: a geometry-optimized KCrSb2 structure at the PBE level of DFT.

Geometry as POSCAR:
```
KCrSb2
1.0
-3.057 3.057 8.406
3.057 -3.057 8.406
3.057 3.057 -8.406
K Cr Sb
2 2 4
Cartesian
0.000 0.000 0.000 K
0.000 3.057 4.203 K
3.057 0.000 4.203 Cr
0.000 0.000 8.406 Cr
1.529 3.044 -2.101 Sb
3.071 1.529 2.101 Sb
1.529 0.014 6.304 Sb
-0.014 1.529 10.507 Sb
```

As for the spin magnetization: 2.8 μB/f.u. The space-group type is I-42d, No. 122. For the energy above the most stable polymorph in this dataset, the calculation gives 0.186 eV per atom. The calculation puts the uncorrected formation energy at 0.11 eV per atom. The electronic total energy is -37.06 eV for the cell shown.

4.
Computed, not measured: a geometry-optimized Ca2TcAs2 structure at the PBE level of DFT.

Geometry as POSCAR:
```
Ca2TcAs2
1.0
6.711 0.000 0.000
0.000 6.711 0.000
0.000 0.000 4.576
Ca Tc As
4 2 4
Cartesian
1.180 2.176 0.000 Ca
2.176 5.531 0.000 Ca
4.535 1.180 0.000 Ca
5.531 4.535 0.000 Ca
0.000 0.000 2.288 Tc
3.355 3.355 2.288 Tc
0.944 4.300 2.288 As
2.411 0.944 2.288 As
4.300 5.766 2.288 As
5.766 2.411 2.288 As
```

As for the spin magnetization: 0.0 μB/f.u. The space-group type is P4/mbm, No. 127. The value obtained for the energy relative to the elements is -0.63 eV/atom. The electronic total energy is -53.60 eV for the cell shown.

What did the second record say?
Computed, not measured: a geometry-optimized PmUAu structure at the PBE level of DFT.

Geometry as POSCAR:
```
PmUAu
1.0
5.096 -1.789 0.000
5.096 1.789 0.000
-2.180 0.000 8.379
Pm U Au
2 2 2
Cartesian
1.403 0.000 1.112 Pm
6.609 0.000 7.267 Pm
2.275 0.000 4.502 U
5.737 0.000 3.877 U
-0.715 0.000 6.101 Au
8.728 0.000 2.278 Au
```

As for the spin magnetization: 0.2 μB/f.u. The space-group type is C2/m, No. 12. The value obtained for the energy relative to the elements is -0.15 eV/atom. The electronic total energy is -39.54 eV for the cell shown.

> Which formula does entry 2 have?

PmUAu

Copy entry 4 word for word.
Computed, not measured: a geometry-optimized Ca2TcAs2 structure at the PBE level of DFT.

Geometry as POSCAR:
```
Ca2TcAs2
1.0
6.711 0.000 0.000
0.000 6.711 0.000
0.000 0.000 4.576
Ca Tc As
4 2 4
Cartesian
1.180 2.176 0.000 Ca
2.176 5.531 0.000 Ca
4.535 1.180 0.000 Ca
5.531 4.535 0.000 Ca
0.000 0.000 2.288 Tc
3.355 3.355 2.288 Tc
0.944 4.300 2.288 As
2.411 0.944 2.288 As
4.300 5.766 2.288 As
5.766 2.411 2.288 As
```

As for the spin magnetization: 0.0 μB/f.u. The space-group type is P4/mbm, No. 127. The value obtained for the energy relative to the elements is -0.63 eV/atom. The electronic total energy is -53.60 eV for the cell shown.